Here is a relaxed Cd3Pd7Pt2 crystal from Alexandria via LeMat-Bulk. Energies are from PBE. Values from VASP.

**Energy**: -4.38 eV per atom
**Fermi-level density of states**: 0.6509 states/eV per atom
**Space-group type**: No. 65
**Calculated volume**: 216.3 Å³/cell
**Size of the total moment**: 0.0 Bohr magnetons per cell

Quantum ESPRESSO input file:
```
&SYSTEM
  ibrav = 0, nat = 12, ntyp = 3
/
ATOMIC_SPECIES
Cd 112.41 Cd.upf
Pd 106.42 Pd.upf
Pt 195.08 Pt.upf
CELL_PARAMETERS angstrom
2.3180 -9.9067 0.0000
2.3180 9.9067 0.0000
0.0000 0.0000 4.7092
ATOMIC_POSITIONS crystal
Cd 0.0000 0.0000 0.0000
Cd 0.1582 0.8418 0.0000
Cd 0.8418 0.1582 0.0000
Pd 0.0758 0.9242 0.5000
Pd 0.2196 0.7804 0.5000
Pd 0.4231 0.5769 0.0000
Pd 0.5000 0.5000 0.5000
Pd 0.5769 0.4231 0.0000
Pd 0.7804 0.2196 0.5000
Pd 0.9242 0.0758 0.5000
Pt 0.3536 0.6464 0.5000
Pt 0.6464 0.3536 0.5000
```